(1)
Ca2Zn12Cu3Pt | PBE | optimized geometry

Output
final energy	-2.153	eV/atom
space group	R-3m, No. 166

Lattice parameters (Å, degrees): 10.4645 10.4645 10.4645 34.45 34.45 34.45
Last column: nearest neighbours and their distance in Å.
Element x y z (fractional)
Ca 0.1428 0.1428 0.1428  12 Zn 3.17-3.34
Ca 0.8572 0.8572 0.8572  12 Zn 3.17-3.34
Zn 0.0884 0.0884 0.6818  2 Cu 2.42, 4 Zn 2.52-2.56
Zn 0.0884 0.6818 0.0884  2 Cu 2.42, 4 Zn 2.52-2.56
Zn 0.1166 0.5933 0.5933  2 Zn 2.56, 1 Pt 2.58
Zn 0.3182 0.9116 0.9116  2 Cu 2.42, 4 Zn 2.52-2.56
Zn 0.4067 0.4067 0.8834  2 Zn 2.56, 1 Pt 2.58
Zn 0.4067 0.8834 0.4067  2 Zn 2.56, 1 Pt 2.58
Zn 0.5933 0.1166 0.5933  2 Zn 2.56, 1 Pt 2.58
Zn 0.5933 0.5933 0.1166  2 Zn 2.56, 1 Pt 2.58
Zn 0.6818 0.0884 0.0884  2 Cu 2.42, 4 Zn 2.52-2.56
Zn 0.8834 0.4067 0.4067  2 Zn 2.56, 1 Pt 2.58
Zn 0.9116 0.3182 0.9116  2 Cu 2.42, 4 Zn 2.52-2.56
Zn 0.9116 0.9116 0.3182  2 Cu 2.42, 4 Zn 2.52-2.56
Cu 0.0000 0.5000 0.5000  4 Zn 2.42
Cu 0.5000 0.0000 0.5000  4 Zn 2.42
Cu 0.5000 0.5000 0.0000  4 Zn 2.42
Pt 0.5000 0.5000 0.5000  6 Zn 2.58

=====

(2)
Tm3Ga8Pd3 | PBE | optimized geometry

Output
final energy	-4.491	eV/atom
distance to the lowest polymorph of the same formula	0.0000	eV/atom
space group	Immm, No. 71

Lattice parameters (Å, degrees): 8.1157 8.1157 8.1157 149.83 105.75 82.18
Last column: nearest neighbours and their distance in Å.
Element x y z (fractional)
Tm 0.0000 0.0000 0.0000  12 Ga 3.18, 4 Pd 3.54
Tm 0.3171 0.3171 0.0000  4 Pd 3.04-3.08, 8 Ga 3.08
Tm 0.6829 0.6829 0.0000  4 Pd 3.04-3.08, 8 Ga 3.08
Ga 0.0369 0.6648 0.3721  4 Ga 2.51-2.66, 1 Pd 2.57
Ga 0.1509 0.8698 0.2811  3 Ga 2.63-2.66, 3 Pd 2.65-2.67
Ga 0.2927 0.6648 0.6279  4 Ga 2.51-2.66, 1 Pd 2.57
Ga 0.4112 0.1302 0.2811  3 Ga 2.63-2.66, 3 Pd 2.65-2.67
Ga 0.5888 0.8698 0.7189  3 Ga 2.63-2.66, 3 Pd 2.65-2.67
Ga 0.7073 0.3352 0.3721  4 Ga 2.51-2.66, 1 Pd 2.57
Ga 0.8491 0.1302 0.7189  3 Ga 2.63-2.66, 3 Pd 2.65-2.67
Ga 0.9631 0.3352 0.6279  4 Ga 2.51-2.66, 1 Pd 2.57
Pd 0.2901 0.5000 0.7901  6 Ga 2.57-2.65
Pd 0.5000 0.0000 0.5000  4 Ga 2.67, 4 Pd 2.95
Pd 0.7099 0.5000 0.2099  6 Ga 2.57-2.65

=====

(3)
ZnTeHI2 | PBE | optimized geometry

Output
final energy	-1.610	eV/atom
distance to the lowest polymorph of the same formula	0.1353	eV/atom
space group	P4/mmm, No. 123

Lattice parameters (Å, degrees): 5.7335 5.7335 5.3122 90.00 90.00 90.00
Last column: nearest neighbours and their distance in Å.
Element x y z (fractional)
Zn 0.0000 0.0000 0.0000  2 Te 2.66, 4 I 2.87
Te 0.0000 0.0000 0.5000  2 Zn 2.66
H 0.5000 0.5000 0.5000  8 I 3.91, 4 Te 4.05
I 0.0000 0.5000 0.0000  2 Zn 2.87
I 0.5000 0.0000 0.0000  2 Zn 2.87

=====

(4)
LuI | PBE | optimized geometry

Output
final energy	-3.834	eV/atom
space group	P2_1/m, No. 11

Lattice parameters (Å, degrees): 3.8086 3.8082 9.5439 90.00 90.39 90.00
Last column: nearest neighbours and their distance in Å.
Element x y z (fractional)
Lu 0.2481 0.2500 0.3868  4 I 3.21-3.22, 4 Lu 3.45
Lu 0.7519 0.7500 0.6132  4 I 3.21-3.22, 4 Lu 3.45
I 0.2551 0.2500 0.7972  4 Lu 3.21-3.22
I 0.7449 0.7500 0.2028  4 Lu 3.21-3.22